--- i ---
# Ba3Tl4Cd4 PBE-GGA relaxed
# DOS(E_F): 6.5 states/eV/cell
# V: 33.3 Å³ per atom
data_Ba3Tl4Cd4
_chemical_formula_sum 'Ba3 Tl4 Cd4'
_space_group_name_H-M_alt 'P 1'
_space_group_IT_number 1
_cell_length_a 4.396
_cell_length_b 5.230
_cell_length_c 16.284
_cell_angle_alpha 81.14
_cell_angle_beta 82.30
_cell_angle_gamma 89.98
loop_
_space_group_symop_operation_xyz
'x,y,z'
loop_
_atom_site_label
_atom_site_fract_x
_atom_site_fract_y
_atom_site_fract_z
Ba1 0.000 0.000 0.000
Ba2 0.148 0.643 0.703
Ba3 0.852 0.357 0.297
Tl1 0.309 0.820 0.380
Tl2 0.457 0.452 0.100
Tl3 0.543 0.548 0.900
Tl4 0.691 0.180 0.620
Cd1 0.256 0.265 0.488
Cd2 0.407 0.908 0.191
Cd3 0.593 0.092 0.809
Cd4 0.744 0.735 0.512

=====

--- ii ---
# Ba3Tl4Cd4 PBE-GGA relaxed
# DOS(E_F): 9.8 states/eV/cell
# V: 33.0 Å³ per atom
data_Ba3Tl4Cd4
_chemical_formula_sum 'Ba3 Tl4 Cd4'
_space_group_name_H-M_alt 'P 1'
_space_group_IT_number 1
_cell_length_a 9.859
_cell_length_b 9.859
_cell_length_c 9.859
_cell_angle_alpha 149.37
_cell_angle_beta 131.47
_cell_angle_gamma 58.49
loop_
_space_group_symop_operation_xyz
'x,y,z'
loop_
_atom_site_label
_atom_site_fract_x
_atom_site_fract_y
_atom_site_fract_z
Ba1 0.000 0.000 0.000
Ba2 0.365 0.865 0.500
Ba3 0.635 0.135 0.500
Tl1 0.220 0.220 0.000
Tl2 0.316 0.500 0.816
Tl3 0.684 0.500 0.184
Tl4 0.780 0.780 0.000
Cd1 0.022 0.336 0.686
Cd2 0.349 0.664 0.686
Cd3 0.651 0.336 0.314
Cd4 0.978 0.664 0.314

=====

Consider the structures shown above. The least stable of them is ii.